No. 1
Here is TlCrSnCl6 after structural relaxation from the Alexandria database. Energies are from GGA-PBE.

The structure in POSCAR format:
```
TlCrSnCl6
1.0
-5.609 -2.163 -3.461
-0.417 -6.577 -2.167
-2.935 -1.738 5.843
Tl Cr Sn Cl
1 1 1 6
direct
0.000 0.000 0.000
0.333 0.333 0.500
0.667 0.667 0.500
0.052 0.342 0.294
0.342 0.052 0.706
0.606 0.342 0.706
0.052 0.606 0.706
0.342 0.606 0.294
0.606 0.052 0.294
```

## Properties
M_tot: 3.00 Bohr magnetons per cell
formation energy (no corrections): -9.488 eV per formula unit

=====

No. 2
Here is TlCr2SnCl8 after structural relaxation from the Alexandria database. Energies are from GGA-PBE.

The structure in POSCAR format:
```
TlCr2SnCl8
1.0
7.894 0.020 0.000
-3.483 7.084 0.000
-2.206 -3.552 6.696
Tl Cr Sn Cl
1 2 1 8
direct
0.000 0.000 0.000
0.750 0.250 0.500
0.500 0.500 0.000
0.250 0.750 0.500
0.391 0.060 0.332
0.331 0.523 0.192
0.331 0.138 0.808
0.728 0.060 0.668
0.862 0.669 0.192
0.940 0.272 0.332
0.940 0.609 0.668
0.477 0.669 0.808
```

## Properties
D(E_F): 9.45 states/eV per cell
M_tot: 7.00 Bohr magnetons per cell
formation energy (no corrections): -10.686 eV per formula unit

=====

No. 3
Here is CrSnW2Cl after structural relaxation from the Alexandria database. Energies are from GGA-PBE.

The structure in POSCAR format:
```
CrSnW2Cl
1.0
-1.638 -2.071 -3.746
4.692 -0.624 -1.706
0.238 -4.049 2.135
Cr Sn W Cl
1 1 2 1
direct
0.000 0.000 0.000
0.000 0.500 0.000
0.000 0.000 0.500
0.500 0.000 0.000
0.500 0.500 0.500
```

## Properties
D(E_F): 6.29 states/eV per cell
M_tot: 0.76 Bohr magnetons per cell
formation energy (no corrections): 7.396 eV per formula unit

=====

No. 4
Here is CrSnWCl2 after structural relaxation from the Alexandria database. Energies are from GGA-PBE.

The structure in POSCAR format:
```
CrSnWCl2
1.0
-2.382 -0.161 4.701
4.922 -0.717 2.470
0.536 5.226 0.451
Cr Sn W Cl
1 1 1 2
direct
0.000 0.500 0.000
0.000 0.000 0.000
0.500 0.500 0.500
0.000 0.000 0.500
0.500 0.000 0.000
```

## Properties
D(E_F): 14.42 states/eV per cell
M_tot: 0.16 Bohr magnetons per cell
formation energy (no corrections): 7.057 eV per formula unit

=====

No. 5
Here is ZrCr2SnCl after structural relaxation from the Alexandria database. Energies are from GGA-PBE.

The structure in POSCAR format:
```
ZrCr2SnCl
1.0
4.263 0.000 0.000
0.000 4.756 0.000
0.000 0.000 4.263
Cr Sn Zr Cl
2 1 1 1
direct
0.000 0.000 0.500
0.500 0.000 0.000
0.500 0.500 0.500
0.000 0.500 0.000
0.000 0.000 0.000
```

## Properties
D(E_F): 7.62 states/eV per cell
M_tot: 0.00 Bohr magnetons per cell
formation energy (no corrections): 2.330 eV per formula unit

=====

No. 6
Here is Sr2CrCl2 after structural relaxation from the Alexandria database. Energies are from GGA-PBE.

The structure in POSCAR format:
```
Sr2CrCl2
1.0
-0.522 2.695 3.879
-0.670 -3.906 2.623
6.756 -1.013 4.524
Sr Cl Cr
2 2 1
direct
0.368 0.368 0.264
0.632 0.632 0.736
0.750 0.250 0.500
0.250 0.750 0.500
0.000 0.000 0.000
```

## Properties
D(E_F): 1.91 states/eV per cell
M_tot: 5.24 Bohr magnetons per cell
formation energy (no corrections): -4.815 eV per formula unit

=====

No. 7
Here is SrCrCl after structural relaxation from the Alexandria database. Energies are from GGA-PBE.

The structure in POSCAR format:
```
SrCrCl
1.0
4.150 0.000 0.000
-2.075 3.594 0.000
0.000 0.000 6.644
Sr Cl Cr
1 1 1
direct
0.667 0.333 0.702
0.000 0.000 0.963
0.333 0.667 0.335
```

## Properties
D(E_F): 0.39 states/eV per cell
M_tot: 5.02 Bohr magnetons per cell
formation energy (no corrections): -0.764 eV per formula unit

=====

No. 8
Here is SrCr2Cl after structural relaxation from the Alexandria database. Energies are from GGA-PBE.

The structure in POSCAR format:
```
SrCr2Cl
1.0
5.788 -0.114 -0.219
1.524 5.584 0.219
-2.525 -4.247 3.024
Sr Cl Cr
1 1 2
direct
0.529 0.529 0.000
0.788 0.288 0.500
0.995 0.995 0.000
0.188 0.688 0.500
```

## Properties
D(E_F): 2.54 states/eV per cell
M_tot: 0.01 Bohr magnetons per cell
formation energy (no corrections): 0.876 eV per formula unit

=====

No. 9
Here is SrCr2Cl after structural relaxation from the Alexandria database. Energies are from GGA-PBE.

The structure in POSCAR format:
```
SrCr2Cl
1.0
3.545 0.000 0.000
0.000 3.545 0.000
0.000 0.000 8.625
Sr Cl Cr
1 1 2
direct
0.000 0.000 0.498
0.500 0.500 0.673
0.000 0.000 0.126
0.500 0.500 0.203
```

## Properties
D(E_F): 1.52 states/eV per cell
M_tot: 0.41 Bohr magnetons per cell
formation energy (no corrections): -0.362 eV per formula unit

=====

No. 10
Here is SrCrCl after structural relaxation from the Alexandria database. Energies are from GGA-PBE.

The structure in POSCAR format:
```
SrCrCl
1.0
-1.451 3.668 -3.133
-1.817 -1.150 -4.555
-4.891 0.668 -1.003
Sr Cl Cr
1 1 1
direct
0.500 0.500 0.500
0.250 0.250 0.250
0.000 0.000 0.000
```

## Properties
D(E_F): 0.06 states/eV per cell
M_tot: 5.02 Bohr magnetons per cell
formation energy (no corrections): -0.276 eV per formula unit

=====

No. 11
Here is SrCr3Cl after structural relaxation from the Alexandria database. Energies are from GGA-PBE.

The structure in POSCAR format:
```
SrCr3Cl
1.0
-4.283 -0.530 -4.196
4.227 -0.721 -4.224
-0.130 -5.953 0.885
Sr Cl Cr
1 1 3
direct
0.000 0.000 0.000
0.500 0.500 0.500
0.000 0.500 0.000
0.000 0.000 0.500
0.500 0.000 0.000
```

## Properties
D(E_F): 5.96 states/eV per cell
M_tot: 15.00 Bohr magnetons per cell
formation energy (no corrections): 10.003 eV per formula unit

=====

No. 12
Here is SrCr2Cl after structural relaxation from the Alexandria database. Energies are from GGA-PBE.

The structure in POSCAR format:
```
SrCr2Cl
1.0
-2.649 2.152 0.951
-1.325 -2.554 2.087
3.923 1.542 7.438
Sr Cl Cr
1 1 2
direct
0.000 0.561 0.501
0.500 0.969 0.683
0.000 0.756 0.116
0.500 0.214 0.200
```

## Properties
D(E_F): 1.56 states/eV per cell
M_tot: 0.42 Bohr magnetons per cell
formation energy (no corrections): -0.371 eV per formula unit